Entry from the Alexandria database: a relaxed MgHgMo2 crystal (PBE).

Output
Calculated density, kg/m3: 9817
Total DFT energy (no corrections), eV per atom: -5.394
E above lowest polymorph, meV/atom: 289.9
Calculated formation energy, eV per atom: 0.50
Total moment, μB/f.u.: 0.00

Unit cell a=2.774 b=2.774 c=9.159 alpha=90.00 beta=90.00 gamma=90.00
Space group P4/mmm (No. 123)
Symmetry-distinct sites (fractional):
Mg1 0.000 0.000 0.000
Hg1 0.000 0.000 0.500
Mo1 0.500 0.500 0.248